Entry 1:
Below is a geometry-optimized Ho3Zn2Ni3 structure, with properties calculated at the PBE-GGA level. Values from VASP.

* M_tot: 0.00 μB/f.u.
* crystal system: orthorhombic
* uncorrected energy: -36.81 eV/f.u.
* ΔE_f: -398.7 meV per atom

```
&SYSTEM
  ibrav = 0, nat = 32, ntyp = 3
/
ATOMIC_SPECIES
Ho 164.93 Ho.upf
Zn 65.41 Zn.upf
Ni 58.69 Ni.upf
CELL_PARAMETERS angstrom
7.393 0.000 0.000
0.000 14.440 0.000
0.000 0.000 5.591
ATOMIC_POSITIONS crystal
Ho 0.041 0.104 0.149
Ho 0.041 0.396 0.149
Ho 0.183 0.250 0.610
Ho 0.317 0.750 0.110
Ho 0.459 0.604 0.649
Ho 0.459 0.896 0.649
Ho 0.541 0.104 0.351
Ho 0.541 0.396 0.351
Ho 0.683 0.250 0.890
Ho 0.817 0.750 0.390
Ho 0.959 0.604 0.851
Ho 0.959 0.896 0.851
Zn 0.109 0.604 0.360
Zn 0.109 0.896 0.360
Zn 0.391 0.104 0.860
Zn 0.391 0.396 0.860
Zn 0.609 0.604 0.140
Zn 0.609 0.896 0.140
Zn 0.891 0.104 0.640
Zn 0.891 0.396 0.640
Ni 0.175 0.750 0.603
Ni 0.190 0.038 0.576
Ni 0.190 0.462 0.576
Ni 0.310 0.538 0.076
Ni 0.310 0.962 0.076
Ni 0.325 0.250 0.103
Ni 0.675 0.750 0.897
Ni 0.690 0.038 0.924
Ni 0.690 0.462 0.924
Ni 0.810 0.538 0.424
Ni 0.810 0.962 0.424
Ni 0.825 0.250 0.397
```



Entry 2:
Below is a geometry-optimized Ho2Zn5Ni5 structure, with properties calculated at the PBE-GGA level. Values from VASP.

* M_tot: 0.00 μB/f.u.
* crystal system: orthorhombic
* uncorrected energy: -49.16 eV/f.u.
* ΔE_f: -394.1 meV per atom

```
&SYSTEM
  ibrav = 0, nat = 12, ntyp = 3
/
ATOMIC_SPECIES
Ho 164.93 Ho.upf
Zn 65.41 Zn.upf
Ni 58.69 Ni.upf
CELL_PARAMETERS angstrom
4.071 0.000 0.000
0.000 5.091 0.000
0.000 0.000 8.734
ATOMIC_POSITIONS crystal
Ho 0.000 0.000 0.000
Ho 0.000 0.500 0.500
Zn 0.500 0.000 0.500
Zn 0.500 0.252 0.244
Zn 0.500 0.252 0.756
Zn 0.500 0.748 0.244
Zn 0.500 0.748 0.756
Ni 0.000 0.000 0.333
Ni 0.000 0.000 0.667
Ni 0.000 0.500 0.161
Ni 0.000 0.500 0.839
Ni 0.500 0.500 0.000
```



Entry 3:
Below is a geometry-optimized HoZn4Ni6 structure, with properties calculated at the PBE-GGA level. Values from VASP.

* M_tot: 0.00 μB/f.u.
* crystal system: tetragonal
* uncorrected energy: -44.92 eV/f.u.
* ΔE_f: -51.2 meV per atom

```
&SYSTEM
  ibrav = 0, nat = 11, ntyp = 3
/
ATOMIC_SPECIES
Ho 164.93 Ho.upf
Zn 65.41 Zn.upf
Ni 58.69 Ni.upf
CELL_PARAMETERS angstrom
-2.989 2.989 4.616
2.989 -2.989 4.616
2.989 2.989 -4.616
ATOMIC_POSITIONS crystal
Ho 0.000 0.000 0.000
Zn 0.096 0.096 0.588
Zn 0.492 0.904 0.000
Zn 0.508 0.508 0.412
Zn 0.904 0.492 0.000
Ni 0.000 0.500 0.500
Ni 0.262 0.583 0.000
Ni 0.417 0.417 0.678
Ni 0.500 0.000 0.500
Ni 0.583 0.262 0.000
Ni 0.738 0.738 0.322
```



Entry 4:
Below is a geometry-optimized Ho12ZnNi6 structure, with properties calculated at the PBE-GGA level. Values from VASP.

* M_tot: 0.00 μB/f.u.
* crystal system: trigonal
* uncorrected energy: -93.70 eV/f.u.
* ΔE_f: -147.8 meV per atom

```
&SYSTEM
  ibrav = 0, nat = 19, ntyp = 3
/
ATOMIC_SPECIES
Ho 164.93 Ho.upf
Zn 65.41 Zn.upf
Ni 58.69 Ni.upf
CELL_PARAMETERS angstrom
6.412 3.702 3.406
-6.412 3.702 3.406
0.000 -7.404 3.406
ATOMIC_POSITIONS crystal
Ho 0.076 0.670 0.924
Ho 0.076 0.924 0.330
Ho 0.169 0.408 0.551
Ho 0.330 0.076 0.924
Ho 0.408 0.551 0.169
Ho 0.449 0.831 0.592
Ho 0.551 0.169 0.408
Ho 0.592 0.449 0.831
Ho 0.670 0.924 0.076
Ho 0.831 0.592 0.449
Ho 0.924 0.076 0.670
Ho 0.924 0.330 0.076
Zn 0.000 0.000 0.000
Ni 0.146 0.617 0.318
Ni 0.318 0.146 0.617
Ni 0.383 0.682 0.854
Ni 0.617 0.318 0.146
Ni 0.682 0.854 0.383
Ni 0.854 0.383 0.682
```



Entry 5:
Below is a geometry-optimized Ho12ZnNi5 structure, with properties calculated at the PBE-GGA level. Values from VASP.

* M_tot: 0.00 μB/f.u.
* crystal system: orthorhombic
* uncorrected energy: -90.63 eV/f.u.
* ΔE_f: -306.2 meV per atom

```
&SYSTEM
  ibrav = 0, nat = 18, ntyp = 3
/
ATOMIC_SPECIES
Ho 164.93 Ho.upf
Zn 65.41 Zn.upf
Ni 58.69 Ni.upf
CELL_PARAMETERS angstrom
-4.637 4.715 4.879
4.637 -4.715 4.879
4.637 4.715 -4.879
ATOMIC_POSITIONS crystal
Ho 0.037 0.225 0.812
Ho 0.180 0.285 0.465
Ho 0.180 0.715 0.895
Ho 0.325 0.020 0.695
Ho 0.325 0.630 0.305
Ho 0.413 0.225 0.188
Ho 0.587 0.775 0.812
Ho 0.675 0.370 0.695
Ho 0.675 0.980 0.305
Ho 0.820 0.285 0.105
Ho 0.820 0.715 0.535
Ho 0.963 0.775 0.188
Zn 0.500 0.500 0.000
Ni 0.000 0.000 0.000
Ni 0.122 0.622 0.500
Ni 0.355 0.000 0.355
Ni 0.645 0.000 0.645
Ni 0.878 0.378 0.500
```



Entry 6:
Below is a geometry-optimized HoZn4Ni structure, with properties calculated at the PBE-GGA level. Values from VASP.

* M_tot: 0.00 μB/f.u.
* crystal system: orthorhombic
* uncorrected energy: -17.32 eV/f.u.
* ΔE_f: -311.6 meV per atom

```
&SYSTEM
  ibrav = 0, nat = 12, ntyp = 3
/
ATOMIC_SPECIES
Ho 164.93 Ho.upf
Zn 65.41 Zn.upf
Ni 58.69 Ni.upf
CELL_PARAMETERS angstrom
7.602 0.000 0.000
0.000 3.903 0.000
0.000 0.000 6.721
ATOMIC_POSITIONS crystal
Ho 0.250 0.000 0.108
Ho 0.750 0.000 0.892
Zn 0.000 0.000 0.500
Zn 0.057 0.500 0.806
Zn 0.250 0.500 0.453
Zn 0.443 0.500 0.806
Zn 0.500 0.000 0.500
Zn 0.557 0.500 0.194
Zn 0.750 0.500 0.547
Zn 0.943 0.500 0.194
Ni 0.250 0.000 0.710
Ni 0.750 0.000 0.290
```



Entry 7:
Below is a geometry-optimized Ho5ZnNi2 structure, with properties calculated at the PBE-GGA level. Values from VASP.

* M_tot: 0.00 μB/f.u.
* crystal system: tetragonal
* uncorrected energy: -38.24 eV/f.u.
* ΔE_f: -313.7 meV per atom

```
&SYSTEM
  ibrav = 0, nat = 16, ntyp = 3
/
ATOMIC_SPECIES
Ho 164.93 Ho.upf
Zn 65.41 Zn.upf
Ni 58.69 Ni.upf
CELL_PARAMETERS angstrom
-3.798 3.798 6.446
3.798 -3.798 6.446
3.798 3.798 -6.446
ATOMIC_POSITIONS crystal
Ho 0.000 0.000 0.000
Ho 0.024 0.524 0.823
Ho 0.200 0.024 0.500
Ho 0.300 0.800 0.823
Ho 0.476 0.300 0.500
Ho 0.500 0.500 0.000
Ho 0.524 0.700 0.500
Ho 0.700 0.200 0.177
Ho 0.800 0.976 0.500
Ho 0.976 0.476 0.177
Zn 0.250 0.250 0.000
Zn 0.750 0.750 0.000
Ni 0.126 0.374 0.500
Ni 0.374 0.874 0.248
Ni 0.626 0.126 0.752
Ni 0.874 0.626 0.500
```



Entry 8:
Below is a geometry-optimized Ho3ZnNi structure, with properties calculated at the PBE-GGA level. Values from VASP.

* M_tot: 0.00 μB/f.u.
* crystal system: monoclinic
* uncorrected energy: -22.18 eV/f.u.
* ΔE_f: -278.3 meV per atom

```
&SYSTEM
  ibrav = 0, nat = 10, ntyp = 3
/
ATOMIC_SPECIES
Ho 164.93 Ho.upf
Zn 65.41 Zn.upf
Ni 58.69 Ni.upf
CELL_PARAMETERS angstrom
4.567 -3.161 0.000
4.567 3.161 0.000
-4.546 0.000 7.949
ATOMIC_POSITIONS crystal
Ho 0.081 0.081 0.291
Ho 0.290 0.290 0.707
Ho 0.300 0.300 0.099
Ho 0.700 0.700 0.901
Ho 0.710 0.710 0.293
Ho 0.919 0.919 0.709
Zn 0.306 0.694 0.500
Zn 0.694 0.306 0.500
Ni 0.251 0.749 0.000
Ni 0.749 0.251 0.000
```